# InPdN2F (PBE, optimized geometry)
data_InPdN2F
_chemical_formula_sum 'In1 Pd1 N2 F1'
_symmetry_space_group_name_H-M 'P 4/m m m'
_symmetry_Int_Tables_number 123
_symmetry_space_group_name_Hall '-P 4 2'
_cell_length_a 4.265
_cell_length_b 4.265
_cell_length_c 4.153
_cell_angle_alpha 90.00
_cell_angle_beta 90.00
_cell_angle_gamma 90.00
loop_
_atom_site_label
_atom_site_fract_x
_atom_site_fract_y
_atom_site_fract_z
In1 0.000 0.000 0.000
Pd1 0.500 0.500 0.500
N1 0.000 0.500 0.000
F1 0.000 0.000 0.500
# Relative energy among the computed polymorphs = 306 meV/atom
# DOS(E_F) = 4.13 states/eV/cell
# Formation energy from raw total energies = 0.997 eV/atom